# 1
DFT (PBE) results for an optimized crystal structure of KY3F10.

a b c (Å): 6.1809 6.1809 6.1809
angles (deg): 93.29 93.29 93.29
Fractional coordinates of all 14 atoms:
K (0.0000, 0.0000, 0.0000)
Y (0.4569, 0.4569, 0.9372)
Y (0.4569, 0.9372, 0.4569)
Y (0.9372, 0.4569, 0.4569)
F (0.1239, 0.4095, 0.7728)
F (0.1239, 0.7728, 0.4095)
F (0.2667, 0.2667, 0.2667)
F (0.4095, 0.1239, 0.7728)
F (0.4095, 0.7728, 0.1239)
F (0.4263, 0.7127, 0.7127)
F (0.7127, 0.4263, 0.7127)
F (0.7127, 0.7127, 0.4263)
F (0.7728, 0.1239, 0.4095)
F (0.7728, 0.4095, 0.1239)

## Properties
Calculated density = 3.50 g cm⁻³
Uncorrected formation energy = -367 kJ per mole of atoms
Relative energy among the computed polymorphs = 0.1649 eV per atom
Space-group type = No. 160
VASP energy = -6.600 eV per atom

# 2
DFT (PBE) results for an optimized crystal structure of K4Y6F19.

a b c (Å): 9.6591 9.6591 9.6591
angles (deg): 109.47 109.47 109.47
Fractional coordinates of all 29 atoms:
K (0.0000, 0.0000, 0.2617)
K (0.0000, 0.2617, 0.0000)
K (0.2617, 0.0000, 0.0000)
K (0.7383, 0.7383, 0.7383)
Y (0.1615, 0.5000, 0.6615)
Y (0.3385, 0.8385, 0.5000)
Y (0.5000, 0.3385, 0.8385)
Y (0.5000, 0.6615, 0.1615)
Y (0.6615, 0.1615, 0.5000)
Y (0.8385, 0.5000, 0.3385)
F (0.0000, 0.0000, 0.0000)
F (0.0000, 0.3793, 0.3793)
F (0.0000, 0.6207, 0.6207)
F (0.0590, 0.7012, 0.3653)
F (0.2988, 0.3578, 0.6641)
F (0.3062, 0.6422, 0.9410)
F (0.3359, 0.6938, 0.6347)
F (0.3578, 0.6641, 0.2988)
F (0.3653, 0.0590, 0.7012)
F (0.3793, 0.0000, 0.3793)
F (0.3793, 0.3793, 0.0000)
F (0.6207, 0.0000, 0.6207)
F (0.6207, 0.6207, 0.0000)
F (0.6347, 0.3359, 0.6938)
F (0.6422, 0.9410, 0.3062)
F (0.6641, 0.2988, 0.3578)
F (0.6938, 0.6347, 0.3359)
F (0.7012, 0.3653, 0.0590)
F (0.9410, 0.3062, 0.6422)

## Properties
Calculated density = 2.52 g cm⁻³
Uncorrected formation energy = -335 kJ per mole of atoms
Space-group type = No. 197
VASP energy = -6.190 eV per atom